No. 1
{"formula": "CsKRb4Hg2", "functional": "GGA-PBE", "state": "relaxed", "cell": [[6.2452, 0.0000, 0.0000], [0.0000, 6.2452, 0.0000], [0.0000, 0.0000, 14.6262]], "species": ["Cs", "K", "Rb", "Rb", "Rb", "Rb", "Hg", "Hg"], "fractional_positions": [[0.0000, 0.0000, 0.0000], [0.0000, 0.0000, 0.5000], [0.0000, 0.5000, 0.2580], [0.0000, 0.5000, 0.7420], [0.5000, 0.0000, 0.2580], [0.5000, 0.0000, 0.7420], [0.5000, 0.5000, 0.1023], [0.5000, 0.5000, 0.8977]], "sg": "No. 123", "volume_a3_per_cell": 570.45, "formation_enthalpy_0k_ev_per_fu": -0.38, "dft_energy_ev_per_atom": -0.851, "magmom_total_mub_per_atom": 0.0000}

=====

No. 2
{"formula": "CsMgTa", "functional": "GGA-PBE", "state": "relaxed", "cell": [[5.4117, 0.0000, 0.0000], [0.0000, 14.9566, 0.0000], [0.0000, 0.0000, 5.2106]], "species": ["Cs", "Cs", "Cs", "Cs", "Mg", "Mg", "Mg", "Mg", "Ta", "Ta", "Ta", "Ta"], "fractional_positions": [[0.0000, 0.2192, 0.2500], [0.0000, 0.7808, 0.7500], [0.5000, 0.2808, 0.7500], [0.5000, 0.7192, 0.2500], [0.0000, 0.0386, 0.7500], [0.0000, 0.9614, 0.2500], [0.5000, 0.4614, 0.2500], [0.5000, 0.5386, 0.7500], [0.0000, 0.5000, 0.0000], [0.0000, 0.5000, 0.5000], [0.5000, 0.0000, 0.0000], [0.5000, 0.0000, 0.5000]], "sg": "No. 63", "volume_a3_per_cell": 421.75, "e_above_lowest_polymorph_kj_per_mol_atoms": 34.5, "formation_enthalpy_0k_ev_per_fu": 2.77, "dft_energy_ev_per_atom": -3.844, "magmom_total_mub_per_atom": 0.0000}

=====

No. 3
{"formula": "LaSiAgO2", "functional": "GGA-PBE", "state": "relaxed", "cell": [[4.2675, 0.0000, 0.0000], [0.0000, 4.2675, 0.0000], [0.0000, 0.0000, 6.6986]], "species": ["La", "Si", "Ag", "O", "O"], "fractional_positions": [[0.0000, 0.0000, 0.0000], [0.5000, 0.5000, 0.5000], [0.0000, 0.0000, 0.5000], [0.0000, 0.5000, 0.0000], [0.5000, 0.0000, 0.0000]], "sg": "No. 123", "volume_a3_per_cell": 121.99, "dft_energy_ev_per_atom": -5.202, "magmom_total_mub_per_atom": 0.0000}